Tb4PrHg3: relaxed, PBE.

a b c (Å): 5.2866 5.2866 27.9437
angles (deg): 90.00 90.00 120.00
Space group R-3m (No. 166, hexagonal axes)
One atom of each set of equivalent atoms:
Tb (0.0000, 0.0000, 0.1086)
Tb (0.0000, 0.0000, 0.3689)
Pr (0.0000, 0.0000, 0.5000)
Hg (0.0000, 0.0000, 0.0000)
Hg (0.0000, 0.0000, 0.2357)

calculated formation energy	-0.29	eV per atom